Entry 1:
Entry from the Alexandria database: an optimized crystal structure of Mo2RhSe (PBE-GGA).

Cell lengths 4.994, 4.994, 4.416 Å; angles 86.34, 86.34, 35.52 degrees
Positions (direct):
Mo 0.481 0.481 0.518
Mo 0.019 0.019 0.982
Rh 0.750 0.750 0.750
Se 0.250 0.250 0.250

Properties
The calculation puts the energy relative to the elements, uncorrected at 179 meV/atom.

Entry 2:
Entry from the Alexandria database: an optimized crystal structure of Pm4SnSbTe2 (PBE-GGA).

Cell lengths 4.496, 7.784, 7.780 Å; angles 70.56, 90.00, 90.00 degrees
Positions (direct):
Sn 0.500 0.500 0.000
Pm 0.500 0.739 0.251
Pm 0.000 0.260 0.245
Pm 0.500 0.261 0.749
Pm 0.000 0.740 0.755
Te 0.000 0.000 0.000
Te 0.500 0.000 0.500
Sb 0.000 0.500 0.500

Properties
The calculation puts the energy relative to the elements, uncorrected at -1244 meV/atom.

Entry 3:
Entry from the Alexandria database: an optimized crystal structure of SmFeSiN (PBE-GGA).

Cell lengths 3.718, 3.718, 8.398 Å; angles 90.00, 90.00, 90.00 degrees
Site moments in Bohr magnetons follow the coordinates.
Positions (direct):
Si 0.000 0.500 0.340  -0.06
Si 0.500 0.000 0.660  -0.06
Fe 0.500 0.500 0.500  1.44
Fe 0.000 0.000 0.500  1.44
Sm 0.500 0.000 0.156  0.00
Sm 0.000 0.500 0.844  0.00
N 0.500 0.000 0.872  -0.01
N 0.000 0.500 0.128  -0.01

Properties
The calculation puts the energy relative to the elements, uncorrected at -985 meV/atom.

Entry 4:
Entry from the Alexandria database: an optimized crystal structure of Y6Ho3TmTh2 (PBE-GGA).

Cell lengths 6.161, 6.161, 11.783 Å; angles 95.01, 95.01, 119.97 degrees
Positions (direct):
Ho 0.166 0.834 0.500
Ho 0.834 0.166 0.500
Ho 0.500 0.500 0.500
Y 0.581 0.917 0.752
Y 0.747 0.747 0.248
Y 0.253 0.253 0.752
Y 0.917 0.581 0.752
Y 0.083 0.419 0.248
Y 0.419 0.083 0.248
Th 0.667 0.333 0.000
Th 0.333 0.667 0.000
Tm 0.000 0.000 0.000

Properties
For the energy of formation from the pure elements, the calculation gives 0.026 eV per atom.